Record 1
Cs2KNb2O7: optimized geometry, PBE-GGA.

Electronic total energy   -6.95 eV per atom
Formation energy without anion corrections   -2.15 eV per atom

```
12
Lattice="4.141 0.005 -0.003 0.010 4.141 -0.003 2.003 2.000 12.145" Properties=species:S:1:pos:R:3 pbc="T T T"
Cs 4.110 4.105 4.555
Nb 1.957 1.954 2.101
Cs 2.044 2.042 7.583
O 4.075 1.987 10.132
O 4.072 4.067 8.151
O 2.079 4.159 2.006
O 1.992 4.072 10.132
O 2.076 2.073 -0.003
K 0.000 0.000 0.000
O 4.162 2.074 2.006
Nb 4.198 4.192 10.037
O 2.082 2.080 3.987
```

***

Record 2
Cs2KNbO4: optimized geometry, PBE-GGA.

Electronic total energy   -6.01 eV per atom
Formation energy without anion corrections   -1.92 eV per atom

```
16
Lattice="-2.341 -2.432 -5.536 2.354 -6.529 -1.924 -10.303 -6.306 3.331" Properties=species:S:1:pos:R:3 pbc="T T T"
O -4.037 -5.243 -0.345
K -5.730 -8.242 -3.449
O -9.423 -13.127 -2.979
Cs -9.251 -10.204 -1.097
O 0.236 -6.783 -3.374
Nb -1.171 -1.216 -2.768
Cs -2.209 -6.279 -5.800
O -1.693 -2.998 -3.104
K 0.000 0.000 0.000
Cs -6.782 -4.343 0.979
O -9.699 -7.626 1.198
O -6.598 -10.381 -4.599
O -6.334 -6.921 -1.316
O -3.612 -7.988 -1.999
Cs -5.862 -4.395 -3.184
Nb -4.560 -7.025 -0.681
```

***

Record 3
Cs2KNbS4: optimized geometry, PBE-GGA.

Electronic total energy   -4.79 eV per atom
Formation energy without anion corrections   -1.11 eV per atom

```
16
Lattice="7.290 0.000 0.000 3.645 7.016 0.000 3.645 0.000 13.668" Properties=species:S:1:pos:R:3 pbc="T T T"
S 12.239 5.639 12.362
S 6.772 2.130 8.139
K 0.000 0.000 0.000
Cs 7.290 0.000 5.171
S 11.454 4.886 8.139
S 5.987 5.639 1.306
K 9.113 3.508 6.834
S 5.987 1.378 12.362
S 4.164 2.130 5.528
Cs 9.113 3.508 1.662
S 6.772 4.886 5.528
S 4.949 1.378 1.306
Cs 3.645 0.000 8.496
Nb 3.645 0.000 0.000
Cs 9.113 3.508 12.005
Nb 5.468 3.508 6.834
```

***

Record 4
CsK2NbS4: optimized geometry, PBE-GGA.

Electronic total energy   -4.91 eV per atom
Formation energy without anion corrections   -1.21 eV per atom

```
16
Lattice="-5.940 -2.926 6.431 4.921 -7.666 1.455 3.803 7.103 1.511" Properties=species:S:1:pos:R:3 pbc="T T T"
K 5.669 -1.920 5.897
S 3.381 -6.816 2.288
K 6.286 -5.106 2.000
Cs 4.381 -0.305 1.547
S -4.240 -3.465 5.666
S 1.201 -5.052 7.270
K -0.984 1.982 4.257
S 2.961 -2.632 3.966
Nb 8.215 -1.509 2.765
K 0.027 -4.304 4.153
S 3.084 4.367 2.723
Cs 0.303 0.370 8.601
S 3.084 -0.229 6.775
Nb 1.900 -0.798 4.899
S 2.001 1.040 3.537
S -0.338 -1.168 5.363
```

***

Record 5
Cs2KNbSn: optimized geometry, PBE-GGA.

Electronic total energy   -2.08 eV per atom

```
5
Lattice="6.299 0.000 0.000 0.000 6.666 0.000 0.000 0.000 6.299" Properties=species:S:1:pos:R:3 pbc="T T T"
K 0.000 3.333 0.000
Cs 3.150 0.000 0.000
Cs 0.000 0.000 3.150
Sn 3.150 3.333 3.150
Nb 0.000 0.000 0.000
```

***

Record 6
CsK2Nd: optimized geometry, PBE-GGA.

Electronic total energy   -1.51 eV per atom

```
4
Lattice="4.072 0.000 0.000 2.036 3.526 0.000 2.036 1.175 16.424" Properties=species:S:1:pos:R:3 pbc="T T T"
K 2.036 1.175 12.609
K 6.108 3.526 3.815
Cs 4.072 2.351 8.212
Nd 0.000 0.000 0.000
```

***

Number 1: total magnetic moment 0.96 μB/cell, calculated density 4.80 g/cm3. Number 2: total magnetic moment 0.34 μB/cell, calculated density 3.04 g/cm3. Number 3: total magnetic moment 0.00 μB/cell, calculated density 2.50 g/cm3. Number 4: total magnetic moment 0.00 μB/cell, calculated density 2.62 g/cm3. Number 5: total magnetic moment 6.06 μB/cell, calculated density 3.24 g/cm3. Number 6: total magnetic moment 0.35 μB/cell, calculated density 2.50 g/cm3.